The following is a PBE calculation of a relaxed CoHgSN2 crystal, from Alexandria via LeMat-Bulk.

## Properties
The formation energy from raw total energies is 2276 meV/atom. As for the size of the total moment: 5.7 μB per formula unit. As for the energy above the lowest structure with this stoichiometry: 1263 meV/atom. The total energy is -3.361 eV per atom.

Cell lengths 4.077, 4.077, 5.701 Å; angles 90.00, 90.00, 90.00 degrees
Last column: magnetic moment on the atom in μB.
Positions (direct):
Co (0.500, 0.500, 0.500)  2.35
N (0.500, 0.000, 0.000)  0.98
S (0.000, 0.000, 0.500)  0.29
Hg (0.000, 0.000, 0.000)  0.10
N (0.000, 0.500, 0.000)  0.98



The following is a PBE calculation of a relaxed Mg8Cd3Pb2 crystal, from Alexandria via LeMat-Bulk.

## Properties
The calculation puts the formation energy from the elements at 0.07 eV per atom. As for the size of the total moment: 0.0 μB per formula unit. The total energy is -1.688 eV per atom.

Cell lengths 7.255, 5.950, 8.800 Å; angles 109.76, 103.95, 90.00 degrees
Positions (direct):
Cd (0.000, 0.752, 0.000)
Pb (0.767, 0.745, 0.490)
Cd (0.500, 0.000, 0.000)
Mg (0.570, 0.113, 0.725)
Cd (0.000, 0.248, 0.000)
Mg (0.839, 0.134, 0.268)
Mg (0.570, 0.612, 0.725)
Mg (0.430, 0.887, 0.275)
Mg (0.082, 0.665, 0.330)
Pb (0.233, 0.255, 0.510)
Mg (0.161, 0.866, 0.732)
Mg (0.918, 0.335, 0.670)
Mg (0.430, 0.388, 0.275)



The following is a PBE calculation of a relaxed ErAgAu2 crystal, from Alexandria via LeMat-Bulk.

## Properties
The calculation puts the formation energy from the elements at -0.56 eV per atom. As for the size of the total moment: 0.0 μB per formula unit. The total energy is -4.055 eV per atom.

Cell lengths 3.565, 3.565, 6.372 Å; angles 90.00, 90.00, 90.00 degrees
Positions (direct):
Er (0.500, 0.500, 0.500)
Au (0.000, 0.000, 0.761)
Ag (0.500, 0.500, 0.000)
Au (0.000, 0.000, 0.239)



Q: The highest size of the total moment belongs to which entry?
A: CoHgSN2